Entry from the Alexandria database: an optimized crystal structure of Be4SbAu (PBE).

a = 4.803 Å, b = 4.803 Å, c = 4.803 Å
α = 60.00°, β = 60.00°, γ = 60.00°
Fractional coordinates of all 6 atoms:
Be1 0.125 0.125 0.125
Be2 0.125 0.125 0.626
Be3 0.125 0.626 0.125
Be4 0.626 0.125 0.125
Sb1 0.750 0.750 0.750
Au1 0.500 0.500 0.500

Calculated values
ρ, g cm⁻³: 7.52
Magnetic moment, μB/f.u.: 0.00
Space group: No. 216
Fermi-level density of states, states/eV per cell: 1.4
Volume, Å³ per cell: 78.4
Uncorrected energy, eV/atom: -3.352